--- A ---
This record from OQMD describes an optimized crystal structure of NpTlMo. The functional is PBE.

Calculated values
space-group type: F-43m (216)

abc: 4.7285 4.7285 4.7285
angles: 60.00 60.00 60.00
With the nearest neighbours (Å) after each atom.
Sites, in units of the cell vectors:
Np1 0.2500 0.2500 0.2500  4 Mo 2.90, 4 Tl 2.90
Mo1 0.5000 0.5000 0.5000  4 Np 2.90
Tl1 0.0000 0.0000 0.0000  4 Np 2.90


--- B ---
This record from OQMD describes an optimized crystal structure of NpTlMo. The functional is PBE.

Calculated values
space-group type: F-43m (216)

abc: 4.6664 4.6664 4.6664
angles: 60.00 60.00 60.00
With the nearest neighbours (Å) after each atom.
Sites, in units of the cell vectors:
Mo1 0.0000 0.0000 0.0000  4 Tl 2.86, 4 Np 2.86
Np1 0.2500 0.2500 0.2500  4 Mo 2.86
Tl1 0.7500 0.7500 0.7500  4 Mo 2.86


Which of them is the most stable, and which is the least stable? B and A, in that order.


--- A ---
This record from OQMD describes an optimized crystal structure of NpZnMo. The functional is PBE.

Calculated values
space-group type: F-43m (216)

abc: 4.4250 4.4250 4.4250
angles: 60.00 60.00 60.00
With the nearest neighbours (Å) after each atom.
Sites, in units of the cell vectors:
Zn1 0.7500 0.7500 0.7500  4 Np 2.71
Mo1 0.2500 0.2500 0.2500  4 Np 2.71
Np1 0.0000 0.0000 0.0000  4 Zn 2.71, 4 Mo 2.71


--- B ---
This record from OQMD describes an optimized crystal structure of NpZnMo. The functional is PBE.

Calculated values
space-group type: F-43m (216)

abc: 4.4224 4.4224 4.4224
angles: 60.00 60.00 60.00
With the nearest neighbours (Å) after each atom.
Sites, in units of the cell vectors:
Zn1 0.7500 0.7500 0.7500  4 Mo 2.71
Mo1 0.0000 0.0000 0.0000  4 Np 2.71, 4 Zn 2.71
Np1 0.2500 0.2500 0.2500  4 Mo 2.71


Which of them is the most stable, and which is the least stable? B and A, in that order.


--- A ---
This record from OQMD describes an optimized crystal structure of MoOsPt2. The functional is PBE.

Calculated values
space-group type: Ama2 (40)

abc: 4.4708 5.5542 5.5542
angles: 119.56 90.00 90.00
With the nearest neighbours (Å) after each atom.
Sites, in units of the cell vectors:
Pt1 0.2500 0.8338 0.6586  6 Pt 2.71-2.85, 4 Mo 2.73-2.78, 2 Os 2.77-2.82
Pt2 0.7500 0.1727 0.8370  4 Pt 2.71-2.85, 4 Os 2.74-2.82, 4 Mo 2.76-2.83
Os1 0.2500 0.3297 0.1721  4 Mo 2.70-2.86, 2 Os 2.70, 6 Pt 2.74-2.82
Mo1 0.2500 0.3357 0.6603  4 Os 2.70-2.86, 8 Pt 2.73-2.83
Pt3 0.7500 0.6586 0.8338  6 Pt 2.71-2.85, 4 Mo 2.73-2.78, 2 Os 2.77-2.82
Pt4 0.2500 0.8370 0.1727  4 Pt 2.71-2.85, 4 Os 2.74-2.82, 4 Mo 2.76-2.83
Os2 0.7500 0.1721 0.3297  4 Mo 2.70-2.86, 2 Os 2.70, 6 Pt 2.74-2.82
Mo2 0.7500 0.6603 0.3357  4 Os 2.70-2.86, 8 Pt 2.73-2.83


--- B ---
This record from OQMD describes an optimized crystal structure of MoOsPt2. The functional is PBE.

Calculated values
space-group type: F-43m (216)

abc: 4.4422 4.4422 4.4422
angles: 60.00 60.00 60.00
With the nearest neighbours (Å) after each atom.
Sites, in units of the cell vectors:
Pt1 0.2500 0.2500 0.2500  4 Mo 2.72, 4 Pt 2.72
Pt2 0.0000 0.0000 0.0000  4 Os 2.72, 4 Pt 2.72
Mo1 0.5000 0.5000 0.5000  4 Os 2.72, 4 Pt 2.72
Os1 0.7500 0.7500 0.7500  4 Mo 2.72, 4 Pt 2.72


Which of them is the most stable, and which is the least stable? A and B, in that order.


--- A ---
This record from OQMD describes an optimized crystal structure of PuMoOs. The functional is PBE.

Calculated values
space-group type: F-43m (216)

abc: 4.3715 4.3715 4.3715
angles: 60.00 60.00 60.00
With the nearest neighbours (Å) after each atom.
Sites, in units of the cell vectors:
Mo1 0.2500 0.2500 0.2500  4 Os 2.68
Os1 0.0000 0.0000 0.0000  4 Mo 2.68, 4 Pu 2.68
Pu1 0.7500 0.7500 0.7500  4 Os 2.68


--- B ---
This record from OQMD describes an optimized crystal structure of PuMoOs. The functional is PBE.

Calculated values
space-group type: F-43m (216)

abc: 4.3447 4.3447 4.3447
angles: 60.00 60.00 60.00
With the nearest neighbours (Å) after each atom.
Sites, in units of the cell vectors:
Pu1 0.0000 0.0000 0.0000  4 Os 2.66, 4 Mo 2.66
Mo1 0.2500 0.2500 0.2500  4 Pu 2.66
Os1 0.7500 0.7500 0.7500  4 Pu 2.66


Which of them is the most stable, and which is the least stable? A and B, in that order.


--- A ---
This record from OQMD describes an optimized crystal structure of RbMoOs. The functional is PBE.

Calculated values
space-group type: F-43m (216)

abc: 4.5139 4.5139 4.5139
angles: 60.00 60.00 60.00
With the nearest neighbours (Å) after each atom.
Sites, in units of the cell vectors:
Rb1 0.7500 0.7500 0.7500  4 Mo 2.76
Os1 0.2500 0.2500 0.2500  4 Mo 2.76
Mo1 0.0000 0.0000 0.0000  4 Os 2.76, 4 Rb 2.76


--- B ---
This record from OQMD describes an optimized crystal structure of RbMoOs. The functional is PBE.

Calculated values
space-group type: F-43m (216)

abc: 4.6099 4.6099 4.6099
angles: 60.00 60.00 60.00
With the nearest neighbours (Å) after each atom.
Sites, in units of the cell vectors:
Mo1 0.2500 0.2500 0.2500  4 Rb 2.82
Os1 0.7500 0.7500 0.7500  4 Rb 2.82
Rb1 0.0000 0.0000 0.0000  4 Os 2.82, 4 Mo 2.82


Which of them is the most stable, and which is the least stable? A and B, in that order.


--- A ---
This record from OQMD describes an optimized crystal structure of SrMoOs. The functional is PBE.

Calculated values
space-group type: F-43m (216)

abc: 4.5719 4.5719 4.5719
angles: 60.00 60.00 60.00
With the nearest neighbours (Å) after each atom.
Sites, in units of the cell vectors:
Os1 0.0000 0.0000 0.0000  4 Mo 2.80, 4 Sr 2.80
Mo1 0.2500 0.2500 0.2500  4 Os 2.80
Sr1 0.7500 0.7500 0.7500  4 Os 2.80


--- B ---
This record from OQMD describes an optimized crystal structure of SrMoOs. The functional is PBE.

Calculated values
space-group type: R-3m (166)

abc: 11.0654 11.0654 11.0654
angles: 22.10 22.10 22.10
With the nearest neighbours (Å) after each atom.
Sites, in units of the cell vectors:
Os1 0.6204 0.6204 0.6204  4 Mo 2.49-2.53
Mo1 0.3014 0.3014 0.3014  4 Os 2.49-2.53
Os2 0.3796 0.3796 0.3796  4 Mo 2.49-2.53
Mo2 0.6986 0.6986 0.6986  4 Os 2.49-2.53
Sr1 0.8908 0.8908 0.8908  3 Os 3.19, 3 Mo 3.50
Sr2 0.1092 0.1092 0.1092  3 Os 3.19, 3 Mo 3.50


Which of them is the most stable, and which is the least stable? B and A, in that order.


--- A ---
This record from OQMD describes an optimized crystal structure of PaMo. The functional is PBE.

Calculated values
space-group type: F-43m (216)

abc: 4.1732 4.1732 4.1732
angles: 60.00 60.00 60.00
With the nearest neighbours (Å) after each atom.
Sites, in units of the cell vectors:
Pa1 0.2500 0.2500 0.2500  4 Mo 2.56
Mo1 0.0000 0.0000 0.0000  4 Pa 2.56


--- B ---
This record from OQMD describes an optimized crystal structure of PaMo. The functional is PBE.

Calculated values
space-group type: Fm-3m (225)

abc: 3.9439 3.9439 3.9439
angles: 60.00 60.00 60.00
With the nearest neighbours (Å) after each atom.
Sites, in units of the cell vectors:
Pa1 0.5000 0.5000 0.5000  6 Mo 2.79
Mo1 0.0000 0.0000 0.0000  6 Pa 2.79


--- C ---
This record from OQMD describes an optimized crystal structure of PaMo. The functional is PBE.

Calculated values
space-group type: P-6m2 (187)

abc: 3.2032 3.2031 4.5812
angles: 90.00 90.00 120.00
With the nearest neighbours (Å) after each atom.
Sites, in units of the cell vectors:
Pa1 0.3333 0.6667 0.2500  6 Mo 2.94, 6 Pa 3.20
Mo1 0.6667 0.3333 0.7500  6 Pa 2.94, 6 Mo 3.20


Which of them is the most stable, and which is the least stable? C and A, in that order.